i:
Nb2H2Pt: optimized geometry, PBE-GGA.

## Properties
V	114	Å³/cell

a b c (Å): 3.5735 3.5735 8.9596
angles (deg): 90.00 90.00 90.00
Last column: nearest neighbours and their distance in Å.
Atoms (fractional coordinates):
Nb  0.0000  0.0000  0.1579  4 H 1.97
Nb  0.0000  0.0000  0.8421  4 H 1.97
Nb  0.5000  0.5000  0.3421  4 H 1.97
Nb  0.5000  0.5000  0.6579  4 H 1.97
H  0.0000  0.5000  0.2500  4 Nb 1.97
H  0.0000  0.5000  0.7500  4 Nb 1.97
H  0.5000  0.0000  0.2500  4 Nb 1.97
H  0.5000  0.0000  0.7500  4 Nb 1.97
Pt  0.0000  0.0000  0.5000  8 H 2.87, 10 Nb 2.90-3.07
Pt  0.5000  0.5000  0.0000  8 H 2.87, 10 Nb 2.90-3.07



ii:
Nb2H2Pt: optimized geometry, PBE-GGA.

## Properties
V	115	Å³/cell

a b c (Å): 6.3911 6.3911 2.8157
angles (deg): 90.00 90.00 90.00
Last column: nearest neighbours and their distance in Å.
Atoms (fractional coordinates):
Nb  0.1516  0.3484  0.0000  4 H 2.21
Nb  0.3484  0.8484  0.0000  4 H 2.21
Nb  0.6516  0.1516  0.0000  4 H 2.21
Nb  0.8484  0.6516  0.0000  4 H 2.21
H  0.1124  0.6124  0.5000  1 H 2.03, 4 Nb 2.21
H  0.3876  0.1124  0.5000  1 H 2.03, 4 Nb 2.21
H  0.6124  0.8876  0.5000  1 H 2.03, 4 Nb 2.21
H  0.8876  0.3876  0.5000  1 H 2.03, 4 Nb 2.21
Pt  0.0000  0.0000  0.5000  4 H 2.58, 8 Nb 2.81, 2 Pt 2.82
Pt  0.5000  0.5000  0.5000  4 H 2.58, 8 Nb 2.81, 2 Pt 2.82



Stability, lowest: ii



i:
NbHRu2Pt: optimized geometry, PBE-GGA.

## Properties
V	63	Å³/cell

a b c (Å): 3.9521 3.9521 4.0103
angles (deg): 90.00 90.00 90.00
Last column: nearest neighbours and their distance in Å.
Atoms (fractional coordinates):
Nb  0.0000  0.0000  0.0000  2 H 2.01
H  0.0000  0.0000  0.5000  4 Ru 1.98, 2 Nb 2.01
Ru  0.0000  0.5000  0.5000  2 H 1.98
Ru  0.5000  0.0000  0.5000  2 H 1.98
Pt  0.5000  0.5000  0.0000  4 Nb 2.79, 8 Ru 2.82



ii:
NbHRu2Pt: optimized geometry, PBE-GGA.

## Properties
V	63	Å³/cell

a b c (Å): 4.0130 4.0130 3.8918
angles (deg): 90.00 90.00 90.00
Last column: nearest neighbours and their distance in Å.
Atoms (fractional coordinates):
Nb  0.0000  0.0000  0.0000  8 Ru 2.80, 4 Pt 2.84
H  0.5000  0.5000  0.5000  2 Pt 1.95, 4 Ru 2.01
Ru  0.0000  0.5000  0.5000  2 H 2.01
Ru  0.5000  0.0000  0.5000  2 H 2.01
Pt  0.5000  0.5000  0.0000  2 H 1.95



Stability, lowest: ii



i:
Nb2HRuPt: optimized geometry, PBE-GGA.

## Properties
V	67	Å³/cell

a b c (Å): 4.1088 4.1088 3.9787
angles (deg): 90.00 90.00 90.00
Last column: nearest neighbours and their distance in Å.
Atoms (fractional coordinates):
Nb  0.0000  0.5000  0.0000  2 H 2.05
Nb  0.5000  0.0000  0.0000  2 H 2.05
H  0.0000  0.0000  0.0000  2 Pt 1.99, 4 Nb 2.05
Ru  0.5000  0.5000  0.5000  8 Nb 2.86, 4 Pt 2.91
Pt  0.0000  0.0000  0.5000  2 H 1.99



ii:
Nb2HRuPt: optimized geometry, PBE-GGA.

## Properties
V	67	Å³/cell

a b c (Å): 4.1051 4.1051 3.9687
angles (deg): 90.00 90.00 90.00
Last column: nearest neighbours and their distance in Å.
Atoms (fractional coordinates):
Nb  0.0000  0.5000  0.0000  2 H 2.05
Nb  0.5000  0.0000  0.0000  2 H 2.05
H  0.0000  0.0000  0.0000  2 Ru 1.98, 4 Nb 2.05
Ru  0.0000  0.0000  0.5000  2 H 1.98
Pt  0.5000  0.5000  0.5000  8 Nb 2.85, 4 Ru 2.90



Stability, lowest: i



i:
TaNb2HPt: optimized geometry, PBE-GGA.

## Properties
V	72	Å³/cell

a b c (Å): 4.0686 4.0686 4.3415
angles (deg): 90.00 90.00 90.00
Last column: nearest neighbours and their distance in Å.
Atoms (fractional coordinates):
Ta  0.0000  0.0000  0.0000  2 H 2.17
Nb  0.0000  0.5000  0.5000  2 H 2.03
Nb  0.5000  0.0000  0.5000  2 H 2.03
H  0.0000  0.0000  0.5000  4 Nb 2.03, 2 Ta 2.17
Pt  0.5000  0.5000  0.0000  4 Ta 2.88, 8 Nb 2.97



ii:
TaNb2HPt: optimized geometry, PBE-GGA.

## Properties
V	72	Å³/cell

a b c (Å): 4.0042 4.0042 4.5015
angles (deg): 90.00 90.00 90.00
Last column: nearest neighbours and their distance in Å.
Atoms (fractional coordinates):
Ta  0.0000  0.0000  0.0000  4 Pt 2.83, 8 Nb 3.01
Nb  0.0000  0.5000  0.5000  2 H 2.00
Nb  0.5000  0.0000  0.5000  2 H 2.00
H  0.5000  0.5000  0.5000  4 Nb 2.00
Pt  0.5000  0.5000  0.0000  2 H 2.25



Stability, lowest: ii



i:
Ti2NbHPt: optimized geometry, PBE-GGA.

## Properties
V	68	Å³/cell

a b c (Å): 4.3372 4.3372 3.6267
angles (deg): 90.00 90.00 90.00
Last column: nearest neighbours and their distance in Å.
Atoms (fractional coordinates):
Ti  0.0000  0.5000  0.0000  2 H 2.17
Ti  0.5000  0.0000  0.0000  2 H 2.17
Nb  0.0000  0.0000  0.5000  8 Ti 2.83, 4 Pt 3.07
H  0.5000  0.5000  0.0000  2 Pt 1.81
Pt  0.5000  0.5000  0.5000  2 H 1.81



ii:
Ti2NbHPt: optimized geometry, PBE-GGA.

## Properties
V	68	Å³/cell

a b c (Å): 4.3050 4.3050 3.6742
angles (deg): 90.00 90.00 90.00
Last column: nearest neighbours and their distance in Å.
Atoms (fractional coordinates):
Ti  0.0000  0.5000  0.0000  2 H 2.15
Ti  0.5000  0.0000  0.0000  2 H 2.15
Nb  0.0000  0.0000  0.5000  2 H 1.84
H  0.0000  0.0000  0.0000  2 Nb 1.84
Pt  0.5000  0.5000  0.5000  8 Ti 2.83, 4 Nb 3.04



Stability, lowest: i



i:
Nb2HPtW: optimized geometry, PBE-GGA.

## Properties
V	70	Å³/cell

a b c (Å): 4.3681 4.3681 3.6851
angles (deg): 90.00 90.00 90.00
Last column: nearest neighbours and their distance in Å.
Atoms (fractional coordinates):
Nb  0.0000  0.5000  0.0000  2 H 2.18
Nb  0.5000  0.0000  0.0000  2 H 2.18
H  0.0000  0.0000  0.0000  2 Pt 1.84
Pt  0.0000  0.0000  0.5000  2 H 1.84
W  0.5000  0.5000  0.5000  8 Nb 2.86, 4 Pt 3.09



ii:
Nb2HPtW: optimized geometry, PBE-GGA.

## Properties
V	70	Å³/cell

a b c (Å): 4.2044 4.2044 3.9425
angles (deg): 90.00 90.00 90.00
Last column: nearest neighbours and their distance in Å.
Atoms (fractional coordinates):
Nb  0.0000  0.5000  0.0000  2 H 2.10
Nb  0.5000  0.0000  0.0000  2 H 2.10
H  0.0000  0.0000  0.0000  2 W 1.97, 4 Nb 2.10
Pt  0.5000  0.5000  0.5000  8 Nb 2.88, 4 W 2.97
W  0.0000  0.0000  0.5000  2 H 1.97



Stability, lowest: i



i:
Zr2NbHPt: optimized geometry, PBE-GGA.

## Properties
V	80	Å³/cell

a b c (Å): 4.6525 4.6525 3.6813
angles (deg): 90.00 90.00 90.00
Last column: nearest neighbours and their distance in Å.
Atoms (fractional coordinates):
Zr  0.0000  0.5000  0.0000  2 H 2.33
Zr  0.5000  0.0000  0.0000  2 H 2.33
Nb  0.0000  0.0000  0.5000  8 Zr 2.97, 4 Pt 3.29
H  0.5000  0.5000  0.0000  2 Pt 1.84
Pt  0.5000  0.5000  0.5000  2 H 1.84



ii:
Zr2NbHPt: optimized geometry, PBE-GGA.

## Properties
V	80	Å³/cell

a b c (Å): 4.6341 4.6341 3.7071
angles (deg): 90.00 90.00 90.00
Last column: nearest neighbours and their distance in Å.
Atoms (fractional coordinates):
Zr  0.0000  0.5000  0.0000  2 H 2.32
Zr  0.5000  0.0000  0.0000  2 H 2.32
Nb  0.0000  0.0000  0.5000  2 H 1.85
H  0.0000  0.0000  0.0000  2 Nb 1.85
Pt  0.5000  0.5000  0.5000  8 Zr 2.97, 4 Nb 3.28



Stability, lowest: i